# PBE SbPt3Au, optimized geometry
# ΔE to the lowest computed polymorph (meV/atom): 0.0
data_SbPt3Au
_chemical_formula_sum 'Sb2 Pt6 Au2'
_symmetry_space_group_name_H-M 'P 63/m m c'
_symmetry_Int_Tables_number 194
_symmetry_space_group_name_Hall '-P 6c 2c'
_cell_length_a 4.4607
_cell_length_b 4.4607
_cell_length_c 10.7543
_cell_angle_alpha 90.00
_cell_angle_beta 90.00
_cell_angle_gamma 120.00
loop_
_atom_site_label
_atom_site_type_symbol
_atom_site_fract_x
_atom_site_fract_y
_atom_site_fract_z
Sb1 Sb 0.3333 0.6667 0.2500
Pt1 Pt 0.0000 0.0000 0.2500
Pt2 Pt 0.3333 0.6667 0.6057
Au1 Au 0.0000 0.0000 0.0000

# PBE CsH2BrF, optimized geometry
# ΔE to the lowest computed polymorph (meV/atom): 51.1
data_CsH2BrF
_chemical_formula_sum 'Cs1 H2 Br1 F1'
_symmetry_space_group_name_H-M 'P 1'
_symmetry_Int_Tables_number 1
_cell_length_a 4.9079
_cell_length_b 5.2132
_cell_length_c 5.3019
_cell_angle_alpha 119.31
_cell_angle_beta 90.13
_cell_angle_gamma 90.18
loop_
_symmetry_equiv_pos_as_xyz
'x,y,z'
loop_
_atom_site_label
_atom_site_type_symbol
_atom_site_fract_x
_atom_site_fract_y
_atom_site_fract_z
Cs1 Cs 0.0000 0.0000 0.0000
H1 H 0.6830 0.3986 0.7984
H2 H 0.7235 0.3215 0.6418
Br1 Br 0.4598 0.6716 0.3437
F1 F 0.9596 0.6706 0.3420

# PBE Ce8Os3I4Cl, optimized geometry
# Energy (eV/f.u.): -101.246
data_Ce8Os3I4Cl
_chemical_formula_sum 'Ce16 Os6 I8 Cl2'
_symmetry_space_group_name_H-M 'C 1 2/m 1'
_symmetry_Int_Tables_number 12
_cell_length_a 14.4013
_cell_length_b 8.3127
_cell_length_c 9.2276
_cell_angle_alpha 90.00
_cell_angle_beta 121.36
_cell_angle_gamma 90.00
loop_
_symmetry_equiv_pos_as_xyz
'x,y,z'
'-x,-y,-z'
'-x,y,-z'
'x,-y,z'
'x+1/2,y+1/2,z'
'-x+1/2,-y+1/2,-z'
'-x+1/2,y+1/2,-z'
'x+1/2,-y+1/2,z'
loop_
_atom_site_label
_atom_site_type_symbol
_atom_site_fract_x
_atom_site_fract_y
_atom_site_fract_z
Ce1 Ce 0.0228 0.2393 0.3089
Ce2 Ce 0.2283 0.0000 0.6835
Ce3 Ce 0.2373 0.5000 0.6908
Os1 Os 0.0000 0.0000 0.5000
Os2 Os 0.2500 0.2500 0.5000
I1 I 0.0000 0.0000 0.0000
I2 I 0.0000 0.5000 0.0000
I3 I 0.2500 0.2500 0.0000
Cl1 Cl 0.0000 0.5000 0.5000

# PBE ScAlGa, optimized geometry
# Energy of formation (eV per atom): -0.536
data_ScAlGa
_chemical_formula_sum 'Sc1 Al1 Ga1'
_symmetry_space_group_name_H-M 'P -6 m 2'
_symmetry_Int_Tables_number 187
_symmetry_space_group_name_Hall 'P -6 2'
_cell_length_a 4.3861
_cell_length_b 4.3861
_cell_length_c 3.2364
_cell_angle_alpha 90.00
_cell_angle_beta 90.00
_cell_angle_gamma 120.00
loop_
_atom_site_label
_atom_site_type_symbol
_atom_site_fract_x
_atom_site_fract_y
_atom_site_fract_z
Sc1 Sc 0.0000 0.0000 0.0000
Al1 Al 0.3333 0.6667 0.5000
Ga1 Ga 0.6667 0.3333 0.5000

# PBE Ti2Ga2Mo, optimized geometry
# ΔE to the lowest computed polymorph (meV/atom): 0.0
# Energy of formation (eV per atom): -0.349
data_Ti2Ga2Mo
_chemical_formula_sum 'Ti4 Ga4 Mo2'
_symmetry_space_group_name_H-M 'P 4/m b m'
_symmetry_Int_Tables_number 127
_symmetry_space_group_name_Hall '-P 4 2ab'
_cell_length_a 6.8128
_cell_length_b 6.8128
_cell_length_c 3.4276
_cell_angle_alpha 90.00
_cell_angle_beta 90.00
_cell_angle_gamma 90.00
loop_
_atom_site_label
_atom_site_type_symbol
_atom_site_fract_x
_atom_site_fract_y
_atom_site_fract_z
Ti1 Ti 0.1766 0.3234 0.0000
Ga1 Ga 0.1278 0.6278 0.5000
Mo1 Mo 0.0000 0.0000 0.5000

# PBE NdB2Rh5, optimized geometry
# Energy of formation (eV per atom): -0.417
data_NdB2Rh5
_chemical_formula_sum 'Nd2 B4 Rh10'
_symmetry_space_group_name_H-M 'I m m m'
_symmetry_Int_Tables_number 71
_symmetry_space_group_name_Hall '-I 2 2'
_cell_length_a 3.9421
_cell_length_b 5.9333
_cell_length_c 9.7298
_cell_angle_alpha 90.00
_cell_angle_beta 90.00
_cell_angle_gamma 90.00
loop_
_atom_site_label
_atom_site_type_symbol
_atom_site_fract_x
_atom_site_fract_y
_atom_site_fract_z
Nd1 Nd 0.0000 0.0000 0.0000
B1 B 0.0000 0.5000 0.2152
Rh1 Rh 0.0000 0.2200 0.3472
Rh2 Rh 0.0000 0.5000 0.0000

# PBE MnZn2Au, optimized geometry
# Energy of formation (eV per atom): -0.008
data_MnZn2Au
_chemical_formula_sum 'Mn2 Zn4 Au2'
_symmetry_space_group_name_H-M 'I m m m'
_symmetry_Int_Tables_number 71
_symmetry_space_group_name_Hall '-I 2 2'
_cell_length_a 3.2296
_cell_length_b 4.4963
_cell_length_c 8.5846
_cell_angle_alpha 90.00
_cell_angle_beta 90.00
_cell_angle_gamma 90.00
loop_
_atom_site_label
_atom_site_type_symbol
_atom_site_fract_x
_atom_site_fract_y
_atom_site_fract_z
Mn1 Mn 0.0000 0.0000 0.0000
Zn1 Zn 0.0000 0.5000 0.2512
Au1 Au 0.0000 0.0000 0.5000

# PBE K3Np3TiS8, optimized geometry
# Energy (eV/f.u.): -103.843
data_K3Np3TiS8
_chemical_formula_sum 'K9 Np9 Ti3 S24'
_symmetry_space_group_name_H-M 'R -3 m'
_symmetry_Int_Tables_number 166
_symmetry_space_group_name_Hall '-R 3 2"'
_cell_length_a 7.8555
_cell_length_b 7.8555
_cell_length_c 22.5713
_cell_angle_alpha 90.00
_cell_angle_beta 90.00
_cell_angle_gamma 120.00
loop_
_atom_site_label
_atom_site_type_symbol
_atom_site_fract_x
_atom_site_fract_y
_atom_site_fract_z
K1 K 0.0000 0.5000 0.0000
Np1 Np 0.0000 0.5000 0.5000
Ti1 Ti 0.0000 0.0000 0.5000
S1 S 0.0000 0.0000 0.2346
S2 S 0.0210 0.5105 0.2294

Repeat the first record exactly.
# PBE SbPt3Au, optimized geometry
# ΔE to the lowest computed polymorph (meV/atom): 0.0
data_SbPt3Au
_chemical_formula_sum 'Sb2 Pt6 Au2'
_symmetry_space_group_name_H-M 'P 63/m m c'
_symmetry_Int_Tables_number 194
_symmetry_space_group_name_Hall '-P 6c 2c'
_cell_length_a 4.4607
_cell_length_b 4.4607
_cell_length_c 10.7543
_cell_angle_alpha 90.00
_cell_angle_beta 90.00
_cell_angle_gamma 120.00
loop_
_atom_site_label
_atom_site_type_symbol
_atom_site_fract_x
_atom_site_fract_y
_atom_site_fract_z
Sb1 Sb 0.3333 0.6667 0.2500
Pt1 Pt 0.0000 0.0000 0.2500
Pt2 Pt 0.3333 0.6667 0.6057
Au1 Au 0.0000 0.0000 0.0000

Which formula does entry 8 have?
K3Np3TiS8